The following is a PBE calculation of an optimized crystal structure of NdCu2BO4, from Alexandria.

Cell: 5.245 5.293 6.154 Å, 90.00 90.00 90.00°
Space group I222 (No. 23)
Inequivalent atoms, fractional coordinates:
Nd: 0.000 0.000 0.000
Cu: 0.000 0.500 0.216
B: 0.000 0.000 0.500
O: 0.165 0.164 0.359

Values from the calculation:
uncorrected energy: -6.768 eV/atom
E_form (uncorrected): -14.7 eV per formula unit
mass density: 6.73 g/cm3